1.
RbPm2HgS4 (PBE, relaxed); SG = No. 63; crystal system = orthorhombic; E_form (uncorrected) = -1389.0 meV per atom
1.0
4.215 0.000 0.000
-2.107 7.055 0.000
0.000 0.000 14.674
Rb Pm Hg S
2 4 2 8
direct
0.121 0.242 0.750 Rb
0.879 0.758 0.250 Rb
0.375 0.749 0.555 Pm
0.625 0.251 0.055 Pm
0.625 0.251 0.445 Pm
0.375 0.749 0.945 Pm
0.840 0.679 0.750 Hg
0.160 0.321 0.250 Hg
0.261 0.523 0.101 S
0.739 0.477 0.601 S
0.739 0.477 0.899 S
0.261 0.523 0.399 S
0.000 0.000 0.500 S
0.000 0.000 0.000 S
0.444 0.888 0.750 S
0.556 0.112 0.250 S


2.
Na3SiHg (PBE, relaxed); SG = No. 221; crystal system = cubic; E_form (uncorrected) = 209.3 meV per atom; energy above the lowest structure with this stoichiometry = 0 meV/atom
1.0
-3.688 3.200 2.856
-2.817 -4.648 1.570
3.235 -0.399 4.624
Na Si Hg
3 1 1
direct
0.000 0.500 0.000 Na
0.000 0.000 0.500 Na
0.500 0.000 0.000 Na
0.000 0.000 0.000 Si
0.500 0.500 0.500 Hg